Record 1
GGA-PBE NbMoSe2Br, optimized geometry; density of states at the Fermi level = 3.717 states/eV per cell; ΔE to the lowest computed polymorph = 0.000 eV/atom; formation energy (no corrections) = 261 kJ/mol of formula units; space group = P4/mmm (123)
1.0
5.076 0.000 0.000
0.000 5.076 0.000
0.000 0.000 5.132
Nb Mo Se Br
1 1 2 1
direct
0.000 0.000 0.000
0.500 0.500 0.500
0.000 0.500 0.000
0.500 0.000 0.000
0.000 0.000 0.500

---

Record 2
GGA-PBE Zn4AsP, optimized geometry; density of states at the Fermi level = 4.587 states/eV per cell; ΔE to the lowest computed polymorph = 0.320 eV/atom; space group = F-43m (216)
1.0
0.000 3.671 3.671
3.671 0.000 3.671
3.671 3.671 0.000
Zn As P
4 1 1
direct
0.125 0.125 0.125
0.125 0.125 0.624
0.125 0.624 0.125
0.624 0.125 0.125
0.750 0.750 0.750
0.500 0.500 0.500

---

Record 3
GGA-PBE Fe2Co6Ni5, optimized geometry; density of states at the Fermi level = 27.768 states/eV per cell; energy = -6.708 eV per atom; space group = Pbam (55)
1.0
8.262 0.000 0.000
0.000 14.426 0.000
0.000 0.000 2.464
Fe Co Ni
4 12 10
direct
0.173 0.213 0.000
0.327 0.713 0.000
0.673 0.287 0.000
0.827 0.787 0.000
0.057 0.925 0.000
0.065 0.637 0.000
0.192 0.376 0.500
0.308 0.876 0.500
0.435 0.137 0.000
0.443 0.425 0.000
0.557 0.575 0.000
0.565 0.863 0.000
0.692 0.124 0.500
0.808 0.624 0.500
0.935 0.363 0.000
0.943 0.075 0.000
0.000 0.500 0.500
0.083 0.778 0.500
0.211 0.052 0.500
0.289 0.552 0.500
0.417 0.278 0.500
0.500 0.000 0.500
0.583 0.722 0.500
0.711 0.448 0.500
0.789 0.948 0.500
0.917 0.222 0.500

---

Record 4
GGA-PBE Li2Er3Cd7, optimized geometry; density of states at the Fermi level = 6.191 states/eV per cell; ΔE to the lowest computed polymorph = 0.024 eV/atom; space group = P2/m (10)
1.0
5.012 0.000 0.000
0.000 5.096 0.000
-1.446 0.000 11.245
Li Er Cd
2 3 7
direct
0.098 0.000 0.295
0.902 0.000 0.705
0.000 0.000 0.000
0.436 0.500 0.670
0.564 0.500 0.330
0.027 0.500 0.163
0.263 0.000 0.542
0.449 0.000 0.831
0.500 0.500 0.000
0.551 0.000 0.169
0.737 0.000 0.458
0.973 0.500 0.837

---

Record 5
GGA-PBE Ce2NdS4, optimized geometry; density of states at the Fermi level = 26.002 states/eV per cell; formation energy (no corrections) = -1337 kJ/mol of formula units; space group = Cmcm (63)
1.0
1.968 -6.745 0.000
1.968 6.745 0.000
0.000 0.000 13.399
Ce Nd S
4 2 8
direct
0.132 0.868 0.569
0.132 0.868 0.931
0.868 0.132 0.069
0.868 0.132 0.431
0.377 0.623 0.750
0.623 0.377 0.250
0.029 0.971 0.750
0.224 0.776 0.124
0.224 0.776 0.376
0.500 0.500 0.000
0.500 0.500 0.500
0.776 0.224 0.624
0.776 0.224 0.876
0.971 0.029 0.250

---

Record 6
GGA-PBE HoTeBr, optimized geometry; density of states at the Fermi level = 0.021 states/eV per cell; formation energy (no corrections) = -440 kJ/mol of formula units; space group = I-4m2 (119)
1.0
-2.072 2.072 11.799
2.072 -2.072 11.799
2.072 2.072 -11.799
Ho Te Br
2 2 2
direct
0.158 0.158 0.000
0.842 0.842 0.000
0.296 0.296 0.000
0.704 0.704 0.000
0.573 0.073 0.500
0.927 0.427 0.500

---

Record 7
GGA-PBE Nd4TlHg2Pb, optimized geometry; density of states at the Fermi level = 10.292 states/eV per cell; energy = -3.693 eV per atom; space group = R-3m (166)
1.0
2.741 1.583 8.990
-2.741 1.583 8.990
0.000 -3.165 8.990
Nd Tl Hg Pb
4 1 2 1
direct
0.124 0.124 0.124
0.375 0.375 0.375
0.625 0.625 0.625
0.876 0.876 0.876
0.500 0.500 0.500
0.246 0.246 0.246
0.754 0.754 0.754
0.000 0.000 0.000

---

Record 8
GGA-PBE Sm5Ga2NO, optimized geometry; density of states at the Fermi level = 3.872 states/eV per cell; formation energy (no corrections) = -897 kJ/mol of formula units; space group = P4/mmm (123)
1.0
4.582 0.000 0.000
0.000 4.582 0.000
0.000 0.000 10.425
Sm Ga N O
5 2 1 1
direct
0.000 0.000 0.000
0.000 0.500 0.500
0.500 0.000 0.500
0.500 0.500 0.213
0.500 0.500 0.787
0.000 0.000 0.286
0.000 0.000 0.714
0.500 0.500 0.000
0.500 0.500 0.500